# Ac2PmAs4Pd3, optimized geometry, DFT PBE
# **Formation energy from the elements**: -994 meV/atom
# **Total moment**: 0.000 Bohr magnetons per cell
data_Ac2PmAs4Pd3
_chemical_formula_sum 'Ac2 Pm1 As4 Pd3'
_space_group_name_H-M_alt 'P -4 m 2'
_space_group_IT_number 115
_cell_length_a 4.576
_cell_length_b 4.576
_cell_length_c 11.062
_cell_angle_alpha 90.00
_cell_angle_beta 90.00
_cell_angle_gamma 90.00
loop_
_space_group_symop_operation_xyz
'x,y,z'
'y,-x,-z'
'-x,-y,z'
'-y,x,-z'
'-x,y,z'
'-y,-x,-z'
'x,-y,z'
'y,x,-z'
loop_
_atom_site_label
_atom_site_type_symbol
_atom_site_fract_x
_atom_site_fract_y
_atom_site_fract_z
Ac1 Ac 0.000 0.500 0.216
Pm1 Pm 0.000 0.000 0.500
As1 As 0.000 0.000 0.000
As2 As 0.000 0.500 0.658
As3 As 0.500 0.500 0.000
Pd1 Pd 0.000 0.500 0.891
Pd2 Pd 0.500 0.500 0.500